Entry 1:
First-principles (GGA-PBE) data for an optimized crystal structure of LaYTa2N, as listed in Alexandria via LeMat-Bulk.

## Properties
E_form (uncorrected): -0.17 eV per atom
crystal system: tetragonal
symmetry: No. 123

Cell lengths 4.356, 5.194, 4.356 Å; angles 90.00, 90.00, 90.00 degrees
Fractional coordinates of all 5 atoms:
Y (0.000, 0.500, 0.000)
La (0.500, 0.500, 0.500)
N (0.000, 0.000, 0.000)
Ta (0.500, 0.000, 0.000)
Ta (0.000, 0.000, 0.500)

***

Entry 2:
First-principles (GGA-PBE) data for an optimized crystal structure of KHgIr, as listed in Alexandria via LeMat-Bulk.

## Properties
calculated formation energy: 0.61 eV/atom
offset from the most stable computed form: 0.580 eV/f.u.
crystal system: hexagonal
symmetry: No. 187

Cell lengths 5.282, 5.282, 2.766 Å; angles 90.00, 90.00, 120.00 degrees
Fractional coordinates of all 3 atoms:
K (0.333, 0.667, 0.667)
Ir (0.667, 0.333, 0.167)
Hg (0.000, 0.000, 0.166)

***

Entry 3:
First-principles (GGA-PBE) data for an optimized crystal structure of ScCuPt2, as listed in Alexandria via LeMat-Bulk.

## Properties
calculated formation energy: 0.08 eV/atom
crystal system: tetragonal
symmetry: No. 122

Cell lengths 5.792, 5.792, 7.027 Å; angles 65.66, 65.66, 90.00 degrees
Fractional coordinates of all 8 atoms:
Cu (0.750, 0.250, 0.500)
Cu (0.000, 0.000, 0.000)
Pt (0.875, 0.898, 0.750)
Pt (0.375, 0.352, 0.750)
Pt (0.648, 0.125, 0.250)
Pt (0.102, 0.625, 0.250)
Sc (0.500, 0.500, 0.000)
Sc (0.250, 0.750, 0.500)

***

Entry 4:
First-principles (GGA-PBE) data for an optimized crystal structure of ErGa2Co, as listed in Alexandria via LeMat-Bulk.

## Properties
calculated formation energy: -0.45 eV/atom
crystal system: trigonal
symmetry: No. 166

Cell lengths 4.063, 4.063, 5.498 Å; angles 68.32, 68.32, 60.00 degrees
Fractional coordinates of all 4 atoms:
Ga (0.713, 0.713, 0.861)
Ga (0.287, 0.287, 0.139)
Co (0.000, 0.000, 0.000)
Er (0.500, 0.500, 0.500)

***

Entry 5:
First-principles (GGA-PBE) data for an optimized crystal structure of KBi3Cl, as listed in Alexandria via LeMat-Bulk.

## Properties
offset from the most stable computed form: 0.000 eV/f.u.
E_form (uncorrected): 0.21 eV per atom
crystal system: cubic
symmetry: No. 221

Cell lengths 5.709, 5.709, 5.709 Å; angles 90.00, 90.00, 90.00 degrees
Fractional coordinates of all 5 atoms:
K (0.500, 0.500, 0.500)
Bi (0.000, 0.000, 0.500)
Bi (0.000, 0.500, 0.000)
Bi (0.500, 0.000, 0.000)
Cl (0.000, 0.000, 0.000)

***

Entry 6:
First-principles (GGA-PBE) data for an optimized crystal structure of La2Pr6Pb, as listed in Alexandria via LeMat-Bulk.

## Properties
calculated formation energy: -0.10 eV/atom
crystal system: monoclinic
symmetry: No. 15

Cell lengths 12.348, 12.348, 21.044 Å; angles 27.13, 27.13, 30.39 degrees
Fractional coordinates of all 18 atoms:
Pb (0.923, 0.077, 0.750)
Pb (0.077, 0.923, 0.250)
Pr (0.409, 0.254, 0.470)
Pr (0.746, 0.591, 0.030)
Pr (0.091, 0.907, 0.591)
Pr (0.561, 0.774, 0.190)
Pr (0.774, 0.561, 0.690)
Pr (0.907, 0.091, 0.091)
Pr (0.909, 0.093, 0.409)
Pr (0.093, 0.909, 0.909)
Pr (0.439, 0.226, 0.810)
Pr (0.591, 0.746, 0.530)
Pr (0.254, 0.409, 0.970)
Pr (0.226, 0.439, 0.310)
La (0.758, 0.587, 0.355)
La (0.242, 0.413, 0.645)
La (0.413, 0.242, 0.145)
La (0.587, 0.758, 0.855)

***

Entry 7:
First-principles (GGA-PBE) data for an optimized crystal structure of CaFeIr4, as listed in Alexandria via LeMat-Bulk.

## Properties
calculated formation energy: 0.04 eV/atom
crystal system: cubic
symmetry: No. 216

Cell lengths 5.249, 5.249, 5.249 Å; angles 60.00, 60.00, 60.00 degrees
Fractional coordinates of all 6 atoms:
Ir (0.375, 0.375, 0.375)
Ir (0.375, 0.375, 0.876)
Ir (0.375, 0.876, 0.375)
Ir (0.876, 0.375, 0.375)
Ca (0.750, 0.750, 0.750)
Fe (0.000, 0.000, 0.000)

***

Entry 8:
First-principles (GGA-PBE) data for an optimized crystal structure of CsK2RuO4, as listed in Alexandria via LeMat-Bulk.

## Properties
E_form (uncorrected): -1.24 eV per atom
crystal system: tetragonal
symmetry: No. 82

Cell lengths 6.521, 6.521, 6.521 Å; angles 83.72, 123.69, 123.69 degrees
Fractional coordinates of all 8 atoms:
K (0.500, 0.750, 0.250)
K (0.000, 0.000, 0.000)
O (0.615, 0.407, 0.364)
O (0.385, 0.750, 0.792)
O (0.043, 0.636, 0.250)
O (0.957, 0.208, 0.593)
Cs (0.500, 0.250, 0.750)
Ru (0.000, 0.500, 0.500)

***

Entry 9:
First-principles (GGA-PBE) data for an optimized crystal structure of Sr2ZnRu, as listed in Alexandria via LeMat-Bulk.

## Properties
calculated formation energy: 0.48 eV/atom
crystal system: monoclinic
symmetry: No. 12

Cell lengths 4.566, 4.566, 8.069 Å; angles 81.30, 81.30, 45.22 degrees
Fractional coordinates of all 4 atoms:
Zn (0.750, 0.750, 0.750)
Ru (0.250, 0.250, 0.250)
Sr (0.510, 0.510, 0.464)
Sr (0.990, 0.990, 0.036)

***

Entry 10:
First-principles (GGA-PBE) data for an optimized crystal structure of CaLaF4, as listed in Alexandria via LeMat-Bulk.

## Properties
E_form (uncorrected): -3.72 eV per atom
crystal system: tetragonal
symmetry: No. 123

Cell lengths 3.922, 3.922, 6.038 Å; angles 90.00, 90.00, 90.00 degrees
Fractional coordinates of all 6 atoms:
F (0.001, 0.497, 0.722)
F (0.501, 0.997, 0.274)
F (0.501, 0.997, 0.722)
F (0.001, 0.497, 0.274)
La (0.501, 0.497, 0.998)
Ca (0.001, 0.997, 0.498)

***

Entry 11:
First-principles (GGA-PBE) data for an optimized crystal structure of PmTlPb2Br8, as listed in Alexandria via LeMat-Bulk.

## Properties
E_form (uncorrected): -1.21 eV per atom
crystal system: monoclinic
symmetry: No. 10

Cell lengths 7.315, 6.929, 9.297 Å; angles 89.99, 90.00, 89.25 degrees
Fractional coordinates of all 12 atoms:
Pb (0.500, 0.500, 0.253)
Pb (0.500, 0.500, 0.747)
Pm (0.000, 0.000, 0.000)
Br (0.842, 0.242, 0.779)
Br (0.365, 0.270, 0.500)
Br (0.635, 0.730, 0.500)
Br (0.677, 0.756, 0.000)
Br (0.323, 0.244, 0.000)
Br (0.158, 0.759, 0.779)
Br (0.842, 0.241, 0.221)
Br (0.158, 0.758, 0.221)
Tl (0.000, 0.000, 0.500)

***

Entry 12:
First-principles (GGA-PBE) data for an optimized crystal structure of HfSi2Ag2, as listed in Alexandria via LeMat-Bulk.

## Properties
E_form (uncorrected): 0.11 eV per atom
crystal system: tetragonal
symmetry: No. 127

Cell lengths 7.522, 7.522, 3.087 Å; angles 90.00, 90.00, 90.00 degrees
Fractional coordinates of all 10 atoms:
Si (0.839, 0.661, 0.000)
Si (0.661, 0.161, 0.000)
Si (0.339, 0.839, 0.000)
Si (0.161, 0.339, 0.000)
Hf (0.000, 0.000, 0.000)
Hf (0.500, 0.500, 0.000)
Ag (0.638, 0.862, 0.500)
Ag (0.862, 0.362, 0.500)
Ag (0.138, 0.638, 0.500)
Ag (0.362, 0.138, 0.500)